RbLiGe: optimized geometry, GGA-PBE.

The structure in POSCAR format:
```
RbLiGe
1.0
4.604 0.004 0.002
2.305 3.993 0.001
2.130 -1.140 11.791
Rb Li Ge
2 2 2
Direct
0.986 0.752 0.800 Rb
0.014 0.248 0.200 Rb
0.821 0.339 0.521 Li
0.179 0.661 0.479 Li
0.439 0.029 0.600 Ge
0.561 0.971 0.400 Ge
```

The value obtained for the formation enthalpy at 0 K is -0.21 eV per atom.



RbLiGe: optimized geometry, GGA-PBE.

The structure in POSCAR format:
```
RbLiGe
1.0
3.998 0.000 -0.003
0.003 4.229 0.000
0.262 2.102 12.204
Rb Li Ge
2 2 2
Direct
0.444 0.863 0.813 Rb
0.962 0.181 0.167 Rb
0.455 0.058 0.418 Li
0.946 0.986 0.562 Li
0.444 0.487 0.560 Ge
0.954 0.557 0.420 Ge
```

The value obtained for the formation enthalpy at 0 K is -0.14 eV per atom.



RbLi3Ge: optimized geometry, GGA-PBE.

The structure in POSCAR format:
```
RbLi3Ge
1.0
-3.760 -1.143 -3.273
-1.431 -3.886 3.001
-3.158 3.122 2.537
Ge Rb Li
1 1 3
Direct
0.500 0.500 0.500 Ge
0.000 0.000 0.000 Rb
0.000 0.500 0.000 Li
0.000 0.000 0.500 Li
0.500 0.000 0.000 Li
```

The value obtained for the formation enthalpy at 0 K is 0.90 eV per atom.



Rb2LiGe2: optimized geometry, GGA-PBE.

The structure in POSCAR format:
```
Rb2LiGe2
1.0
-1.341 -1.749 -3.162
-0.861 -3.121 2.091
-12.574 2.254 1.739
Ge Rb Li
2 2 1
Direct
0.750 0.250 0.500 Ge
0.250 0.750 0.500 Ge
0.375 0.375 0.251 Rb
0.625 0.625 0.749 Rb
0.000 0.000 0.000 Li
```

The value obtained for the formation enthalpy at 0 K is 0.20 eV per atom.